# CsVTe4, relaxed, DFT PBE
data_CsVTe4
_cell_length_a 17.6352
_cell_length_b 8.6265
_cell_length_c 5.9780
_cell_angle_alpha 90.00
_cell_angle_beta 95.73
_cell_angle_gamma 90.00
_symmetry_space_group_name_H-M 'C 1 2/m 1'
_symmetry_Int_Tables_number 12
_symmetry_space_group_name_Hall '-C 2y'
loop_
_atom_site_label
_atom_site_type_symbol
_atom_site_fract_x
_atom_site_fract_y
_atom_site_fract_z
Cs1 Cs 0.1845 0.0000 0.1930
V1 V 0.0153 0.5000 0.2837
Te1 Te 0.0000 0.2497 0.0000
Te2 Te 0.0995 0.3030 0.6157
Te3 Te 0.1701 0.5000 0.2632
# E above lowest polymorph = 0.0 meV per atom
# theoretical density = 5096 kg/m3
# energy relative to the elements, uncorrected = -0.39 eV per atom
# electronic total energy = -99.602 eV/cell